! Li3In4Ag2 GGA-PBE relaxed; values from VASP
! Energy above the lowest structure with this stoichiometry   34 meV/atom
! Energy relative to the elements   -1.5 eV per formula unit
&SYSTEM
  ibrav = 0, nat = 9, ntyp = 3
/
ATOMIC_SPECIES
Li 6.94 Li.upf
In 114.82 In.upf
Ag 107.87 Ag.upf
ATOMIC_POSITIONS angstrom
Li 0.000 0.000 0.000
Li 1.961 0.000 2.707
Li 3.600 0.000 5.747
In -1.006 0.000 2.851
In -0.456 0.000 7.978
In 6.017 0.000 0.476
In 6.567 0.000 5.603
Ag 0.575 0.000 5.273
Ag 4.986 0.000 3.181
CELL_PARAMETERS angstrom
4.531 -2.441 0.000
4.531 2.441 0.000
-3.501 0.000 8.454

---

! LiInAg3 GGA-PBE relaxed; values from VASP
! Energy above the lowest structure with this stoichiometry   120 meV/atom
! Energy relative to the elements   -0.2 eV per formula unit
&SYSTEM
  ibrav = 0, nat = 10, ntyp = 3
/
ATOMIC_SPECIES
Li 6.94 Li.upf
In 114.82 In.upf
Ag 107.87 Ag.upf
ATOMIC_POSITIONS angstrom
Li 0.156 1.888 1.603
Li 2.667 5.664 3.357
In 1.475 5.664 0.818
In 1.348 1.888 4.142
Ag -1.269 0.483 4.137
Ag -1.269 3.292 4.137
Ag 0.034 5.664 3.164
Ag 2.789 1.888 1.796
Ag 4.092 4.259 0.823
Ag 4.092 7.068 0.823
CELL_PARAMETERS angstrom
5.300 0.000 0.000
0.000 7.552 0.000
-2.477 0.000 4.960

---

! LiIn2Ag7 GGA-PBE relaxed; values from VASP
! Energy above the lowest structure with this stoichiometry   0 meV/atom
! Energy relative to the elements   0.4 eV per formula unit
&SYSTEM
  ibrav = 0, nat = 10, ntyp = 3
/
ATOMIC_SPECIES
Li 6.94 Li.upf
In 114.82 In.upf
Ag 107.87 Ag.upf
ATOMIC_POSITIONS angstrom
Li 0.000 0.000 0.000
In 0.000 2.647 6.635
In 2.292 1.323 2.061
Ag 0.000 0.000 3.082
Ag 0.000 0.000 8.226
Ag 0.000 2.647 0.975
Ag 0.000 2.647 3.894
Ag 0.000 2.647 9.369
Ag 2.292 1.323 5.110
Ag 2.292 1.323 10.312
CELL_PARAMETERS angstrom
4.585 0.000 0.000
-2.292 3.970 0.000
0.000 0.000 11.157

---

! LiInAg3 GGA-PBE relaxed; values from VASP
! Energy above the lowest structure with this stoichiometry   442 meV/atom
! Energy relative to the elements   1.4 eV per formula unit
&SYSTEM
  ibrav = 0, nat = 5, ntyp = 3
/
ATOMIC_SPECIES
Li 6.94 Li.upf
In 114.82 In.upf
Ag 107.87 Ag.upf
ATOMIC_POSITIONS angstrom
Li 0.000 0.000 0.000
In 2.309 2.309 2.309
Ag 0.000 0.000 2.309
Ag 0.000 2.309 0.000
Ag 2.309 0.000 0.000
CELL_PARAMETERS angstrom
4.619 0.000 0.000
0.000 4.619 0.000
0.000 0.000 4.619

---

! LiIn5Ag6 GGA-PBE relaxed; values from VASP
! Energy relative to the elements   -0.5 eV per formula unit
&SYSTEM
  ibrav = 0, nat = 12, ntyp = 3
/
ATOMIC_SPECIES
Li 6.94 Li.upf
In 114.82 In.upf
Ag 107.87 Ag.upf
ATOMIC_POSITIONS angstrom
Li 0.000 0.000 0.000
In 0.000 3.722 0.000
In 0.096 3.722 4.622
In 0.104 0.000 4.727
In 2.330 0.000 2.263
In 2.338 3.722 2.369
Ag -0.001 1.771 2.255
Ag -0.001 5.674 2.255
Ag 2.324 1.829 0.000
Ag 2.324 5.615 0.000
Ag 2.436 1.771 4.736
Ag 2.436 5.674 4.736
CELL_PARAMETERS angstrom
4.649 0.000 0.000
0.000 7.445 0.000
-2.214 0.000 6.990

---

! Li2InAg7 GGA-PBE relaxed; values from VASP
! Energy above the lowest structure with this stoichiometry   0 meV/atom
! Energy relative to the elements   1.0 eV per formula unit
&SYSTEM
  ibrav = 0, nat = 10, ntyp = 3
/
ATOMIC_SPECIES
Li 6.94 Li.upf
In 114.82 In.upf
Ag 107.87 Ag.upf
ATOMIC_POSITIONS angstrom
Li 4.597 4.625 0.000
Li 4.597 -4.625 0.000
In 0.000 0.000 1.468
Ag 2.236 1.542 0.000
Ag 4.597 2.400 1.468
Ag 2.236 -1.542 0.000
Ag 4.597 0.000 0.000
Ag 6.959 1.542 0.000
Ag 4.597 -2.400 1.468
Ag 6.959 -1.542 0.000
CELL_PARAMETERS angstrom
4.597 -7.451 0.000
4.597 7.451 0.000
0.000 0.000 2.935

---

! LiIn2Ag6 GGA-PBE relaxed; values from VASP
! Energy above the lowest structure with this stoichiometry   56 meV/atom
! Energy relative to the elements   0.0 eV per formula unit
&SYSTEM
  ibrav = 0, nat = 9, ntyp = 3
/
ATOMIC_SPECIES
Li 6.94 Li.upf
In 114.82 In.upf
Ag 107.87 Ag.upf
ATOMIC_POSITIONS angstrom
Li 0.000 0.000 0.000
In 3.254 0.000 0.828
In 6.496 0.000 5.634
Ag 1.635 0.000 4.427
Ag 4.046 1.392 4.421
Ag 5.705 1.392 2.040
Ag 4.046 -1.392 4.421
Ag 5.705 -1.392 2.040
Ag 8.116 0.000 2.034
CELL_PARAMETERS angstrom
4.885 -2.821 0.000
4.885 2.821 0.000
-0.020 0.000 6.462

---

! Li3InAg6 GGA-PBE relaxed; values from VASP
! Energy above the lowest structure with this stoichiometry   67 meV/atom
! Energy relative to the elements   -0.8 eV per formula unit
&SYSTEM
  ibrav = 0, nat = 20, ntyp = 3
/
ATOMIC_SPECIES
Li 6.94 Li.upf
In 114.82 In.upf
Ag 107.87 Ag.upf
ATOMIC_POSITIONS angstrom
Li 4.943 5.154 2.780
Li 3.031 1.168 0.667
Li 3.031 -1.168 3.447
Li 6.855 1.168 0.667
Li 6.855 -1.168 3.447
Li 4.943 -5.154 0.000
In 4.943 2.368 2.643
In 4.943 -2.368 5.422
Ag 2.468 3.001 4.210
Ag 1.407 0.821 2.779
Ag 1.407 -0.821 5.558
Ag 4.943 3.246 5.497
Ag 4.943 0.379 4.573
Ag 2.468 -3.001 1.430
Ag 7.419 3.001 4.210
Ag 4.943 -0.379 1.793
Ag 4.943 -3.246 2.718
Ag 8.480 0.821 2.779
Ag 8.480 -0.821 5.558
Ag 7.419 -3.001 1.430
CELL_PARAMETERS angstrom
4.943 -6.672 0.000
4.943 6.672 0.000
0.000 0.000 5.559

---

! Li2InAg2 GGA-PBE relaxed; values from VASP
! Energy above the lowest structure with this stoichiometry   74 meV/atom
! Energy relative to the elements   -0.8 eV per formula unit
&SYSTEM
  ibrav = 0, nat = 10, ntyp = 3
/
ATOMIC_SPECIES
Li 6.94 Li.upf
In 114.82 In.upf
Ag 107.87 Ag.upf
ATOMIC_POSITIONS angstrom
Li 1.048 2.723 0.000
Li 2.723 6.495 0.000
Li 4.819 1.048 0.000
Li 6.495 4.819 0.000
In 0.000 0.000 0.000
In 3.771 3.771 0.000
Ag 1.155 4.926 1.545
Ag 2.617 1.155 1.545
Ag 4.926 6.388 1.545
Ag 6.388 2.617 1.545
CELL_PARAMETERS angstrom
7.542 0.000 0.000
0.000 7.542 0.000
0.000 0.000 3.090

---

! Li7In3Ag GGA-PBE relaxed; values from VASP
! Energy relative to the elements   -2.0 eV per formula unit
&SYSTEM
  ibrav = 0, nat = 22, ntyp = 3
/
ATOMIC_SPECIES
Li 6.94 Li.upf
In 114.82 In.upf
Ag 107.87 Ag.upf
ATOMIC_POSITIONS angstrom
Li 1.508 9.862 8.944
Li 1.508 9.862 12.075
Li 1.508 7.997 3.503
Li 1.508 6.908 8.598
Li 1.508 6.908 12.421
Li 1.508 6.142 1.011
Li 1.508 6.142 5.995
Li 1.508 -6.142 8.018
Li 1.508 -6.142 13.001
Li 1.508 -6.908 1.591
Li 1.508 -6.908 5.415
Li 1.508 -7.997 10.510
Li 1.508 -9.862 1.937
Li 1.508 -9.862 5.069
In 1.508 4.988 3.503
In 1.508 1.614 7.408
In 1.508 1.614 13.611
In 1.508 -1.614 0.401
In 1.508 -1.614 6.605
In 1.508 -4.988 10.510
Ag 1.508 2.021 3.503
Ag 1.508 -2.021 10.510
CELL_PARAMETERS angstrom
1.508 -10.206 0.000
1.508 10.206 0.000
0.000 0.000 14.013

---

! Li4In5Ag GGA-PBE relaxed; values from VASP
! Energy relative to the elements   -2.2 eV per formula unit
&SYSTEM
  ibrav = 0, nat = 10, ntyp = 3
/
ATOMIC_SPECIES
Li 6.94 Li.upf
In 114.82 In.upf
Ag 107.87 Ag.upf
ATOMIC_POSITIONS angstrom
Li 0.000 0.000 1.656
Li 0.000 0.000 4.907
Li 0.000 0.000 11.605
Li 0.000 0.000 14.855
In 1.738 1.738 0.000
In 1.738 1.738 3.285
In 1.738 1.738 6.527
In 1.738 1.738 9.985
In 1.738 1.738 13.227
Ag 0.000 0.000 8.256
CELL_PARAMETERS angstrom
3.476 0.000 0.000
0.000 3.476 0.000
0.000 0.000 16.512

---

! Li2InAg6 GGA-PBE relaxed; values from VASP
! Energy above the lowest structure with this stoichiometry   29 meV/atom
! Energy relative to the elements   -0.7 eV per formula unit
&SYSTEM
  ibrav = 0, nat = 9, ntyp = 3
/
ATOMIC_SPECIES
Li 6.94 Li.upf
In 114.82 In.upf
Ag 107.87 Ag.upf
ATOMIC_POSITIONS angstrom
Li 2.138 0.000 0.732
Li 10.492 0.000 3.585
In 7.049 0.000 0.000
Ag 4.961 1.399 1.694
Ag 2.934 0.000 3.413
Ag 7.669 1.399 2.623
Ag 4.961 -1.399 1.694
Ag 9.696 0.000 0.904
Ag 7.669 -1.399 2.623
CELL_PARAMETERS angstrom
7.049 -2.807 0.000
7.049 2.807 0.000
-1.468 0.000 4.317